(1)
# NaSm2C

NaSm2C after structural relaxation (GGA-PBE, the Alexandria database).

Properties
The density comes out at 4.817 g/cm3. As for the formation enthalpy at 0 K: -0.0570 eV/atom. For the magnetization, the calculation gives 0.00 μB per formula unit. As for the space-group type: No. 166. The value obtained for the excess energy over the best structure of this formula in the dataset is 0 meV per atom.

Structure (POSCAR):
```
NaSm2C
1.0
1.811 1.046 10.181
-1.811 1.046 10.181
0.000 -2.092 10.181
Na Sm C
1 2 1
Direct
0.000 0.000 0.000
0.121 0.121 0.121
0.879 0.879 0.879
0.500 0.500 0.500
```

---

(2)
# NaSmC

NaSmC after structural relaxation (GGA-PBE, the Alexandria database).

Properties
The density comes out at 3.778 g/cm3. As for the formation enthalpy at 0 K: -0.1044 eV/atom. For the magnetization, the calculation gives 0.00 μB per formula unit. As for the space-group type: No. 1.

Structure (POSCAR):
```
NaSmC
1.0
3.670 0.000 0.000
-1.834 3.855 0.000
-0.023 -1.145 11.519
Na Sm C
2 2 2
Direct
0.000 0.000 0.000
0.256 0.503 0.753
0.505 0.997 0.492
0.759 0.508 0.261
0.050 0.090 0.347
0.213 0.414 0.406
```

---

(3)
# NaSm2C

NaSm2C after structural relaxation (GGA-PBE, the Alexandria database).

Properties
The density comes out at 5.040 g/cm3. As for the formation enthalpy at 0 K: 0.1699 eV/atom. For the magnetization, the calculation gives 0.00 μB per formula unit. As for the space-group type: No. 38. The value obtained for the excess energy over the best structure of this formula in the dataset is 227 meV per atom.

Structure (POSCAR):
```
NaSm2C
1.0
9.844 0.000 0.000
0.000 1.801 3.119
0.000 -1.801 3.119
Na Sm C
1 2 1
Direct
0.000 0.000 0.000
0.350 0.662 0.662
0.650 0.662 0.662
0.500 0.328 0.328
```

---

(4)
# NaSm2C

NaSm2C after structural relaxation (GGA-PBE, the Alexandria database).

Properties
The density comes out at 5.553 g/cm3. As for the formation enthalpy at 0 K: 0.3410 eV/atom. For the magnetization, the calculation gives 0.00 μB per formula unit. As for the space-group type: No. 123. The value obtained for the excess energy over the best structure of this formula in the dataset is 398 meV per atom.

Structure (POSCAR):
```
NaSm2C
1.0
3.260 0.000 0.000
0.000 3.260 0.000
0.000 0.000 9.445
Na Sm C
1 2 1
Direct
0.000 0.000 0.000
0.500 0.500 0.353
0.500 0.500 0.647
0.000 0.000 0.500
```

---

(5)
# NaSm3C

NaSm3C after structural relaxation (GGA-PBE, the Alexandria database).

Properties
The density comes out at 5.825 g/cm3. As for the formation enthalpy at 0 K: 0.1192 eV/atom. For the magnetization, the calculation gives 0.00 μB per formula unit. As for the space-group type: No. 221.

Structure (POSCAR):
```
NaSm3C
1.0
5.175 0.000 0.000
0.000 5.175 0.000
0.000 0.000 5.175
Na Sm C
1 3 1
Direct
0.000 0.000 0.000
0.000 0.500 0.500
0.500 0.000 0.500
0.500 0.500 0.000
0.500 0.500 0.500
```

---

(6)
# NaSnC3

NaSnC3 after structural relaxation (GGA-PBE, the Alexandria database).

Properties
The density comes out at 3.503 g/cm3. As for the formation enthalpy at 0 K: 2.6070 eV/atom. For the magnetization, the calculation gives 0.00 μB per formula unit. As for the space-group type: No. 221. The value obtained for the excess energy over the best structure of this formula in the dataset is 0 meV per atom.

Structure (POSCAR):
```
NaSnC3
1.0
4.384 0.000 0.000
0.000 4.384 0.000
0.000 0.000 4.384
Na Sn C
1 1 3
Direct
0.000 0.000 0.000
0.500 0.500 0.500
0.000 0.500 0.500
0.500 0.000 0.500
0.500 0.500 0.000
```

---

(7)
# NaSnC3

NaSnC3 after structural relaxation (GGA-PBE, the Alexandria database).

Properties
The density comes out at 3.599 g/cm3. As for the formation enthalpy at 0 K: 3.3681 eV/atom. For the magnetization, the calculation gives 0.00 μB per formula unit. As for the space-group type: No. 221. The value obtained for the excess energy over the best structure of this formula in the dataset is 761 meV per atom.

Structure (POSCAR):
```
NaSnC3
1.0
4.345 0.000 0.000
0.000 4.345 0.000
0.000 0.000 4.345
Na Sn C
1 1 3
Direct
0.000 0.000 0.000
0.500 0.500 0.500
0.000 0.000 0.500
0.000 0.500 0.000
0.500 0.000 0.000
```

---

(8)
# Na3SnC

Na3SnC after structural relaxation (GGA-PBE, the Alexandria database).

Properties
The density comes out at 2.748 g/cm3. As for the formation enthalpy at 0 K: 0.8773 eV/atom. For the magnetization, the calculation gives 0.00 μB per formula unit. As for the space-group type: No. 221. The value obtained for the excess energy over the best structure of this formula in the dataset is 0 meV per atom.

Structure (POSCAR):
```
Na3SnC
1.0
4.941 0.000 0.000
0.000 4.941 0.000
0.000 0.000 4.941
Na Sn C
3 1 1
Direct
0.000 0.000 0.500
0.000 0.500 0.000
0.500 0.000 0.000
0.500 0.500 0.500
0.000 0.000 0.000
```

---

(9)
# Na3SnC

Na3SnC after structural relaxation (GGA-PBE, the Alexandria database).

Properties
The density comes out at 1.575 g/cm3. As for the formation enthalpy at 0 K: 1.3962 eV/atom. For the magnetization, the calculation gives 1.00 μB per formula unit. As for the space-group type: No. 221. The value obtained for the excess energy over the best structure of this formula in the dataset is 519 meV per atom.

Structure (POSCAR):
```
Na3SnC
1.0
5.949 0.000 0.000
0.000 5.949 0.000
0.000 0.000 5.949
Na Sn C
3 1 1
Direct
0.000 0.000 0.500
0.000 0.500 0.000
0.500 0.000 0.000
0.000 0.000 0.000
0.500 0.500 0.500
```

---

(10)
# NaSn2C

NaSn2C after structural relaxation (GGA-PBE, the Alexandria database).

Properties
The density comes out at 5.455 g/cm3. As for the formation enthalpy at 0 K: 0.6036 eV/atom. For the magnetization, the calculation gives 0.00 μB per formula unit. As for the space-group type: No. 122.

Structure (POSCAR):
```
NaSn2C
1.0
-3.710 3.710 3.012
3.710 -3.710 3.012
3.710 3.710 -3.012
Na Sn C
2 4 2
Direct
0.000 0.000 0.000
0.750 0.250 0.500
0.212 0.125 0.587
0.375 0.788 0.913
0.538 0.625 0.413
0.875 0.462 0.087
0.250 0.750 0.500
0.500 0.500 0.000
```

---

(11)
# Na2SrSnC

Na2SrSnC after structural relaxation (GGA-PBE, the Alexandria database).

Properties
The density comes out at 1.462 g/cm3. As for the formation enthalpy at 0 K: 1.8980 eV/atom. For the magnetization, the calculation gives 0.47 μB per formula unit. As for the space-group type: No. 123.

Structure (POSCAR):
```
Na2SrSnC
1.0
6.959 0.000 0.000
0.000 6.959 0.000
0.000 0.000 6.197
Na Sr Sn C
2 1 1 1
Direct
0.000 0.500 0.000
0.500 0.000 0.000
0.000 0.000 0.000
0.000 0.000 0.500
0.500 0.500 0.500
```

---

(12)
# NaSn2WC

NaSn2WC after structural relaxation (GGA-PBE, the Alexandria database).

Properties
The density comes out at 7.867 g/cm3. As for the formation enthalpy at 0 K: 1.4706 eV/atom. For the magnetization, the calculation gives 2.85 μB per formula unit. As for the space-group type: No. 123.

Structure (POSCAR):
```
NaSn2WC
1.0
4.673 0.000 0.000
0.000 4.673 0.000
0.000 0.000 4.410
Na Sn W C
1 2 1 1
Direct
0.000 0.000 0.000
0.000 0.500 0.500
0.500 0.000 0.500
0.500 0.500 0.000
0.000 0.000 0.500
```